1.
# SrScSb2 | Alexandria via LeMat-Bulk | PBE | relaxed
data_SrScSb2
_cell_length_a 3.375
_cell_length_b 3.375
_cell_length_c 10.865
_cell_angle_alpha 90.00
_cell_angle_beta 90.00
_cell_angle_gamma 89.99
_symmetry_space_group_name_H-M 'P 1'
_symmetry_Int_Tables_number 1
loop_
_symmetry_equiv_pos_as_xyz
'x,y,z'
loop_
_atom_site_label
_atom_site_fract_x
_atom_site_fract_y
_atom_site_fract_z
Sb1 0.000 0.000 0.987
Sb2 0.500 0.500 0.289
Sc1 0.000 0.000 0.467
Sr1 0.500 0.500 0.757
# ΔE_f (raw)   -0.18 eV per atom
# Polymorph energy (0 for the lowest one)   0.677 eV per atom
# E_tot   -4.2403 eV/atom
# Space-group type   P4mm, No. 99

2.
# GaFe2ReRu | Alexandria via LeMat-Bulk | PBE | relaxed
data_GaFe2ReRu
_cell_length_a 4.168
_cell_length_b 4.388
_cell_length_c 4.168
_cell_angle_alpha 90.00
_cell_angle_beta 90.00
_cell_angle_gamma 90.00
_symmetry_space_group_name_H-M 'P 1'
_symmetry_Int_Tables_number 1
loop_
_symmetry_equiv_pos_as_xyz
'x,y,z'
loop_
_atom_site_label
_atom_site_fract_x
_atom_site_fract_y
_atom_site_fract_z
Re1 0.500 0.500 0.500
Fe1 0.000 0.000 0.500
Fe2 0.500 0.000 0.000
Ga1 0.000 0.000 0.000
Ru1 0.000 0.500 0.000
# E_tot   -6.7005 eV/atom
# Space-group type   P4/mmm, No. 123

3.
# Pu3SiGe6Os2 | Alexandria via LeMat-Bulk | PBE | relaxed
data_Pu3SiGe6Os2
_cell_length_a 5.867
_cell_length_b 5.867
_cell_length_c 7.786
_cell_angle_alpha 90.00
_cell_angle_beta 90.00
_cell_angle_gamma 120.00
_symmetry_space_group_name_H-M 'P 1'
_symmetry_Int_Tables_number 1
loop_
_symmetry_equiv_pos_as_xyz
'x,y,z'
loop_
_atom_site_label
_atom_site_fract_x
_atom_site_fract_y
_atom_site_fract_z
Pu1 0.333 0.667 0.649
Pu2 0.667 0.333 0.351
Pu3 0.000 0.000 0.000
Si1 0.000 0.000 0.500
Ge1 0.629 0.814 0.279
Ge2 0.186 0.371 0.279
Ge3 0.186 0.814 0.279
Ge4 0.814 0.629 0.721
Ge5 0.371 0.186 0.721
Ge6 0.814 0.186 0.721
Os1 0.667 0.333 0.989
Os2 0.333 0.667 0.011
# ΔE_f (raw)   0.19 eV per atom
# E_tot   -8.0268 eV/atom
# Space-group type   P-3m1, No. 164